# 1
VASP calculation (PBEsol) on crystalline ZrRe3 at its relaxed geometry.

Lattice parameters (Å, degrees): 2.793 2.793 9.453 90.00 90.00 120.00
Positions (direct):
1 Re 0.333 0.667 0.271
2 Re 0.333 0.667 0.729
3 Re 0.000 0.000 0.500
4 Zr 0.000 0.000 0.000

Results
Formation energy from the elements, meV per atom: 184
Calculated volume, Å³/atom: 15.97
SG: No. 187

=====

# 2
VASP calculation (PBEsol) on crystalline Zr3Re at its relaxed geometry.

Lattice parameters (Å, degrees): 3.334 4.786 4.786 90.00 90.00 90.00
Positions (direct):
1 Re 0.000 0.000 0.000
2 Zr 0.500 0.000 0.500
3 Zr 0.500 0.500 0.000
4 Zr 0.000 0.500 0.500

Results
Formation energy from the elements, meV per atom: -3
Calculated volume, Å³/atom: 19.09
SG: No. 123

=====

# 3
VASP calculation (PBEsol) on crystalline ZrRe at its relaxed geometry.

Lattice parameters (Å, degrees): 2.834 2.834 9.383 90.00 90.00 111.48
Positions (direct):
1 Re 0.750 0.250 0.610
2 Re 0.250 0.750 0.390
3 Zr 0.750 0.250 0.148
4 Zr 0.250 0.750 0.852

Results
Formation energy from the elements, meV per atom: 106
Calculated volume, Å³/atom: 17.53
SG: No. 67

=====

# 4
VASP calculation (PBEsol) on crystalline Zr3Re at its relaxed geometry.

Lattice parameters (Å, degrees): 2.981 5.516 5.516 116.83 100.38 100.38
Positions (direct):
1 Re 0.000 0.000 0.000
2 Zr 0.500 0.000 0.500
3 Zr 0.500 0.500 0.000
4 Zr 0.000 0.500 0.500

Results
Formation energy from the elements, meV per atom: 37
Calculated volume, Å³/atom: 19.00
SG: No. 166